This record from Alexandria via LeMat-Bulk describes MnFe4Si3 after structural relaxation. The functional is GGA-PBE.

Results
- total DFT energy (no corrections) (eV per atom) = -7.788
- Fermi-level density of states (states/eV/cell) = 13.94
- formation energy without anion corrections (eV per formula unit) = -3.01

a b c (Å): 6.724 6.724 4.682
angles (deg): 90.00 90.00 119.44
Atoms (fractional coordinates):
Mn 0.001 0.231 0.000
Mn 0.231 0.001 0.000
Si 0.407 0.407 0.000
Si 0.607 0.607 0.500
Si 0.394 0.000 0.500
Si 0.996 0.599 0.000
Si 0.000 0.394 0.500
Si 0.599 0.996 0.000
Fe 0.249 0.249 0.500
Fe 0.999 0.759 0.500
Fe 0.667 0.331 0.250
Fe 0.761 0.761 0.000
Fe 0.331 0.667 0.250
Fe 0.667 0.331 0.750
Fe 0.759 0.999 0.500
Fe 0.331 0.667 0.750